No. 1
Entry from Alexandria via LeMat-Bulk: ZnGa2Ge after structural relaxation (PBE).

Computed properties:
- Polymorph energy (0 for the lowest one): 0.0098 eV/atom
- Total magnetization: 0.00 Bohr magnetons per cell

Lattice parameters (Å, degrees): 4.0152 4.0152 6.0570 70.64 70.64 60.00
Positions (direct):
Ga (0.0788, 0.0788, 0.7636)
Ga (0.2502, 0.2502, 0.2493)
Zn (0.6671, 0.6671, 0.9986)
Ge (0.5038, 0.5038, 0.4885)



No. 2
Entry from Alexandria via LeMat-Bulk: ZnGa2Ge after structural relaxation (PBE).

Computed properties:
- Polymorph energy (0 for the lowest one): 0.0000 eV/atom
- Total magnetization: 0.00 Bohr magnetons per cell

Lattice parameters (Å, degrees): 3.0109 3.0109 7.9389 90.00 90.00 90.00
Positions (direct):
Ga (0.0000, 0.0000, 0.2400)
Ga (0.0000, 0.0000, 0.7600)
Ge (0.5000, 0.5000, 0.5000)
Zn (0.5000, 0.5000, 0.0000)



No. 3
Entry from Alexandria via LeMat-Bulk: Zn11Ga17Ge after structural relaxation (PBE).

Computed properties:
- Total magnetization: 0.00 Bohr magnetons per cell

Lattice parameters (Å, degrees): 8.5119 8.5119 8.5174 107.43 107.43 106.71
Positions (direct):
Ga (0.6818, 0.6818, 0.6851)
Ga (0.5925, 0.3042, 0.9948)
Ga (0.3042, 0.5925, 0.9948)
Ga (0.5872, 0.0026, 0.3063)
Ga (0.3305, 0.9896, 0.9891)
Ga (0.4196, 0.7295, 0.4180)
Ga (0.6865, 0.2702, 0.6845)
Ga (0.0026, 0.5872, 0.3063)
Ga (0.3078, 0.9983, 0.5958)
Ga (0.7295, 0.4196, 0.4180)
Ga (0.9896, 0.3305, 0.9891)
Ga (0.0002, 0.0002, 0.0047)
Ga (0.0095, 0.0095, 0.3477)
Ga (0.7016, 0.7016, 0.2798)
Ga (0.2702, 0.6865, 0.6845)
Ga (0.4089, 0.4089, 0.7213)
Ga (0.9983, 0.3078, 0.5958)
Zn (0.9964, 0.8068, 0.6108)
Zn (0.8107, 0.6172, 0.0029)
Zn (0.8068, 0.9964, 0.6108)
Zn (0.1851, 0.8164, 0.1868)
Zn (0.8164, 0.1851, 0.1868)
Zn (0.1845, 0.3806, 0.3826)
Zn (0.6179, 0.9951, 0.8078)
Zn (0.9951, 0.6179, 0.8078)
Zn (0.1779, 0.1779, 0.8145)
Zn (0.3806, 0.1845, 0.3826)
Zn (0.6172, 0.8107, 0.0029)
Ge (0.3906, 0.3906, 0.1880)



No. 4
Entry from Alexandria via LeMat-Bulk: ZnGa2Ge2 after structural relaxation (PBE).

Computed properties:
- Polymorph energy (0 for the lowest one): 0.0283 eV/atom
- Total magnetization: 0.00 Bohr magnetons per cell

Lattice parameters (Å, degrees): 7.5452 7.5452 3.3498 90.00 90.00 90.00
Positions (direct):
Ga (0.8559, 0.6441, 0.0000)
Ga (0.3559, 0.8559, 0.0000)
Ga (0.6441, 0.1441, 0.0000)
Ga (0.1441, 0.3559, 0.0000)
Zn (0.5000, 0.5000, 0.0000)
Zn (0.0000, 0.0000, 0.0000)
Ge (0.8477, 0.3477, 0.5000)
Ge (0.6523, 0.8477, 0.5000)
Ge (0.1523, 0.6523, 0.5000)
Ge (0.3477, 0.1523, 0.5000)



No. 5
Entry from Alexandria via LeMat-Bulk: ZnGaGe3 after structural relaxation (PBE).

Computed properties:
- Polymorph energy (0 for the lowest one): 0.0000 eV/atom
- Total magnetization: 0.00 Bohr magnetons per cell

Lattice parameters (Å, degrees): 4.8705 4.8705 4.8705 90.00 90.00 90.00
Positions (direct):
Ga (0.5000, 0.5000, 0.5000)
Zn (0.0000, 0.0000, 0.0000)
Ge (0.0000, 0.0000, 0.5000)
Ge (0.0000, 0.5000, 0.0000)
Ge (0.5000, 0.0000, 0.0000)



No. 6
Entry from Alexandria via LeMat-Bulk: ZnGa2Ge after structural relaxation (PBE).

Computed properties:
- Polymorph energy (0 for the lowest one): 0.0434 eV/atom
- Total magnetization: 0.00 Bohr magnetons per cell

Lattice parameters (Å, degrees): 7.5022 7.5022 5.9547 50.95 50.95 90.00
Positions (direct):
Zn (0.2500, 0.7500, 0.5000)
Zn (0.5000, 0.5000, 0.0000)
Ga (0.8750, 0.8900, 0.7500)
Ga (0.3750, 0.3600, 0.7500)
Ga (0.6400, 0.1250, 0.2500)
Ga (0.1100, 0.6250, 0.2500)
Ge (0.0000, 0.0000, 0.0000)
Ge (0.7500, 0.2500, 0.5000)



No. 7
Entry from Alexandria via LeMat-Bulk: ZnGaGe2 after structural relaxation (PBE).

Computed properties:
- Polymorph energy (0 for the lowest one): 0.1269 eV/atom
- Total magnetization: 0.00 Bohr magnetons per cell

Lattice parameters (Å, degrees): 6.1061 6.1061 6.6494 62.67 62.67 90.00
Positions (direct):
Ge (0.6247, 0.1250, 0.2500)
Ge (0.8750, 0.8747, 0.7500)
Ge (0.3750, 0.3753, 0.7500)
Ge (0.1253, 0.6250, 0.2500)
Zn (0.2500, 0.7500, 0.5000)
Zn (0.5000, 0.5000, 0.0000)
Ga (0.0000, 0.0000, 0.0000)
Ga (0.7500, 0.2500, 0.5000)



No. 8
Entry from Alexandria via LeMat-Bulk: Zr2GaGe after structural relaxation (PBE).

Computed properties:
- Total magnetization: 0.00 Bohr magnetons per cell

Lattice parameters (Å, degrees): 3.8699 5.4606 7.7846 110.94 90.00 90.00
Positions (direct):
Zr (0.2500, 0.7799, 0.0732)
Zr (0.7500, 0.2146, 0.4309)
Zr (0.7500, 0.2201, 0.9268)
Zr (0.2500, 0.7854, 0.5691)
Ge (0.7500, 0.6659, 0.2930)
Ge (0.2500, 0.3341, 0.7070)
Ga (0.2500, 0.3234, 0.2062)
Ga (0.7500, 0.6766, 0.7938)



No. 9
Entry from Alexandria via LeMat-Bulk: Zr7Ga2Ge2 after structural relaxation (PBE).

Computed properties:
- Total magnetization: 0.00 Bohr magnetons per cell

Lattice parameters (Å, degrees): 6.2400 6.5063 6.2400 90.00 105.00 90.00
Positions (direct):
Zr (0.5000, 0.7355, 0.5000)
Zr (0.0000, 0.2764, 0.5000)
Zr (0.0000, 0.0000, 0.0000)
Zr (0.5000, 0.2645, 0.5000)
Zr (0.5000, 0.7236, 0.0000)
Zr (0.0000, 0.7236, 0.5000)
Zr (0.5000, 0.2764, 0.0000)
Ge (0.7190, 0.0000, 0.2810)
Ge (0.2810, 0.0000, 0.7190)
Ga (0.8293, 0.5000, 0.8293)
Ga (0.1707, 0.5000, 0.1707)



No. 10
Entry from Alexandria via LeMat-Bulk: ZrGa2Ge2 after structural relaxation (PBE).

Computed properties:
- Total magnetization: 0.00 Bohr magnetons per cell

Lattice parameters (Å, degrees): 7.1868 7.1868 3.6030 90.00 90.00 90.00
Positions (direct):
Ge (0.6722, 0.8278, 0.5000)
Ge (0.1722, 0.6722, 0.5000)
Ge (0.8278, 0.3278, 0.5000)
Ge (0.3278, 0.1722, 0.5000)
Zr (0.5000, 0.5000, 0.0000)
Zr (0.0000, 0.0000, 0.0000)
Ga (0.3730, 0.8730, 0.0000)
Ga (0.6270, 0.1270, 0.0000)
Ga (0.1270, 0.3730, 0.0000)
Ga (0.8730, 0.6270, 0.0000)



No. 11
Entry from Alexandria via LeMat-Bulk: Zr8Ga2Ge after structural relaxation (PBE).

Computed properties:
- Total magnetization: 0.00 Bohr magnetons per cell

Lattice parameters (Å, degrees): 5.4385 7.5660 7.5660 114.79 106.76 106.76
Positions (direct):
Zr (0.5000, 0.2232, 0.7768)
Zr (0.6663, 0.3829, 0.3829)
Zr (0.9404, 0.6770, 0.9103)
Zr (0.5000, 0.7768, 0.2232)
Zr (0.0596, 0.3230, 0.0897)
Zr (0.3337, 0.6171, 0.6171)
Zr (0.9404, 0.9103, 0.6770)
Zr (0.0596, 0.0897, 0.3230)
Ga (0.0000, 0.3059, 0.6941)
Ga (0.0000, 0.6941, 0.3059)
Ge (0.5000, 0.0000, 0.0000)



No. 12
Entry from Alexandria via LeMat-Bulk: Zr2GaGe after structural relaxation (PBE).

Computed properties:
- Total magnetization: 0.00 Bohr magnetons per cell

Lattice parameters (Å, degrees): 3.8090 3.8090 6.9643 74.13 74.13 60.00
Positions (direct):
Zr (0.7469, 0.7469, 0.7593)
Zr (0.2531, 0.2531, 0.2407)
Ge (0.0000, 0.0000, 0.0000)
Ga (0.5000, 0.5000, 0.5000)



These records have formation enthalpy at 0 K values of 106, 96, 42, 231, 594, 139, 309, -771, -212, -60, -226, -556 meV/atom, in the order they appear.
These records have D(E_F) values of 1.54, 1.54, 7.60, 4.51, 3.44, 3.48, 5.30, 3.09, 7.36, 6.23, 11.79, 2.09 states/eV per cell, in the order they appear.